Entry from Alexandria: crystalline BaDyPb4 at its relaxed geometry (PBE-GGA).

Results
Symmetry: F-43m
Calculated formation energy, meV/atom: -217
Total moment, μB/cell: 0.00

Geometry as POSCAR:
```
BaDyPb4
1.0
0.000 4.658 4.658
4.658 0.000 4.658
4.658 4.658 0.000
Ba Dy Pb
1 1 4
Direct
0.000 0.000 0.000
0.250 0.250 0.250
0.128 0.624 0.624
0.624 0.128 0.624
0.624 0.624 0.128
0.624 0.624 0.624
```